# AgHgAs2 | the Alexandria database | PBE | relaxed
# electronic total energy = -2.699 eV per atom
# SG = I-42d, No. 122
# energy of formation = 160 kJ/mol of formula units
data_AgHgAs2
_chemical_formula_sum 'Ag2 Hg2 As4'
_cell_length_a 7.319
_cell_length_b 7.319
_cell_length_c 7.319
_cell_angle_alpha 131.19
_cell_angle_beta 131.19
_cell_angle_gamma 71.52
_space_group_name_H-M_alt 'P 1'
_space_group_IT_number 1
loop_
_space_group_symop_operation_xyz
'x,y,z'
loop_
_atom_site_label
_atom_site_fract_x
_atom_site_fract_y
_atom_site_fract_z
Ag1 0.000 0.000 0.000
Ag2 0.750 0.250 0.500
Hg1 0.250 0.750 0.500
Hg2 0.500 0.500 0.000
As1 0.105 0.625 0.980
As2 0.375 0.355 0.480
As3 0.645 0.125 0.020
As4 0.875 0.895 0.520